Entry 1
VASP calculation (PBE) on LaIrNO after structural relaxation.

The structure in extended XYZ format:
```
8
Lattice="4.035 0.000 0.000 0.000 4.035 0.000 0.000 0.000 7.717" Properties=species:S:1:pos:R:3 pbc="T T T"
La 1.009 1.009 1.232
La 3.026 3.026 6.484
Ir 1.009 3.026 3.858
Ir 3.026 1.009 3.858
N 1.009 1.009 4.519
N 3.026 3.026 3.197
O 1.009 3.026 0.000
O 3.026 1.009 0.000
```

***

Entry 2
VASP calculation (PBE) on LaIrNO after structural relaxation.

The structure in extended XYZ format:
```
8
Lattice="3.757 0.000 0.000 0.000 5.783 0.000 0.000 0.000 5.332" Properties=species:S:1:pos:R:3 pbc="T T T"
La 0.000 1.142 0.000
La 0.000 4.641 2.666
Ir 1.878 2.055 2.667
Ir 1.878 3.729 0.001
N 0.000 2.000 2.604
N 0.000 3.784 5.270
O 1.878 0.259 3.937
O 1.878 5.524 1.271
```

***

Of them, entry 1 has the lowest stability.

***

Entry 1
VASP calculation (PBE) on LiDyNO after structural relaxation.

The structure in extended XYZ format:
```
8
Lattice="3.680 0.000 0.000 0.000 3.680 0.000 0.000 0.000 7.158" Properties=species:S:1:pos:R:3 pbc="T T T"
Li 0.920 2.760 0.000
Li 2.760 0.920 0.000
Dy 0.920 0.920 2.387
Dy 2.760 2.760 4.772
N 0.920 0.920 6.215
N 2.760 2.760 0.943
O 0.920 2.760 3.579
O 2.760 0.920 3.579
```

***

Entry 2
VASP calculation (PBE) on LiDyNO after structural relaxation.

The structure in extended XYZ format:
```
4
Lattice="3.360 0.000 0.000 0.000 3.360 0.000 0.000 0.000 4.436" Properties=species:S:1:pos:R:3 pbc="T T T"
Li 0.000 0.000 0.000
Dy 1.680 1.680 2.218
N 0.000 0.000 2.218
O 1.680 1.680 0.000
```

***

Of them, entry 1 has the lowest stability.

***

Entry 1
VASP calculation (PBE) on Co after structural relaxation.

The structure in extended XYZ format:
```
6
Lattice="2.464 0.000 0.000 -1.232 2.134 0.000 0.000 0.000 23.840" Properties=species:S:1:pos:R:3 pbc="T T T"
Co 0.000 1.423 0.988
Co 0.000 1.423 4.989
Co 0.000 1.423 20.807
Co 1.232 0.711 3.032
Co 1.232 0.711 18.850
Co 1.232 0.711 22.851
```

***

Entry 2
VASP calculation (PBE) on Co after structural relaxation.

The structure in extended XYZ format:
```
3
Lattice="1.237 0.714 6.009 -1.237 0.714 6.009 0.000 -1.429 6.009" Properties=species:S:1:pos:R:3 pbc="T T T"
Co 0.000 0.000 0.000
Co 0.000 0.000 4.002
Co 0.000 0.000 14.025
```

***

Of them, entry 1 has the lowest stability.

***

Entry 1
VASP calculation (PBE) on LuMgCoPb after structural relaxation.

The structure in extended XYZ format:
```
4
Lattice="0.000 3.408 3.408 3.408 0.000 3.408 3.408 3.408 0.000" Properties=species:S:1:pos:R:3 pbc="T T T"
Lu 0.000 0.000 0.000
Mg 5.111 5.111 5.111
Co 3.408 3.408 3.408
Pb 1.704 1.704 1.704
```

***

Entry 2
VASP calculation (PBE) on LuMgCoPb after structural relaxation.

The structure in extended XYZ format:
```
4
Lattice="0.000 3.453 3.453 3.453 0.000 3.453 3.453 3.453 0.000" Properties=species:S:1:pos:R:3 pbc="T T T"
Lu 0.000 0.000 0.000
Mg 3.453 3.453 3.453
Co 1.726 1.726 1.726
Pb 5.179 5.179 5.179
```

***

Of them, entry 1 has the lowest stability.

***

Entry 1
VASP calculation (PBE) on Cu4Ag after structural relaxation.

The structure in extended XYZ format:
```
10
Lattice="5.886 0.000 0.000 0.000 3.734 0.000 -0.059 0.000 5.928" Properties=species:S:1:pos:R:3 pbc="T T T"
Cu 0.218 0.933 2.094
Cu 0.783 2.800 0.287
Cu 1.354 0.933 4.376
Cu 1.962 2.800 2.681
Cu 3.865 0.933 3.247
Cu 4.473 2.800 1.552
Cu 5.044 0.933 5.641
Cu 5.608 2.800 3.834
Ag 2.608 0.933 0.946
Ag 3.218 2.800 4.982
```

***

Entry 2
VASP calculation (PBE) on Cu4Ag after structural relaxation.

The structure in extended XYZ format:
```
10
Lattice="5.638 -1.342 0.000 5.638 1.342 0.000 -1.748 0.000 8.618" Properties=species:S:1:pos:R:3 pbc="T T T"
Cu 0.000 0.000 0.000
Cu 0.684 0.000 2.631
Cu 1.234 0.000 5.099
Cu 1.898 0.000 7.737
Cu 4.764 0.000 4.309
Cu 7.631 0.000 0.881
Cu 8.295 0.000 3.519
Cu 8.845 0.000 5.987
Ag 4.148 0.000 1.742
Ag 5.381 0.000 6.876
```

***

Of them, entry 2 has the lowest stability.